Record 1
## LiTb2ZnAu4 (PBE)

Data for LiTb2ZnAu4 after structural relaxation.

Structure (extended XYZ):
```
8
Lattice="4.958 0.000 0.000 2.479 4.293 0.000 2.479 1.431 7.643" Properties=species:S:1:pos:R:3 pbc="T T T"
Li 4.958 2.862 3.822
Tb 7.436 4.293 5.806
Tb 2.479 1.431 1.837
Zn 0.000 0.000 0.000
Au 4.958 2.862 6.513
Au 7.436 4.293 2.799
Au 2.479 1.431 4.844
Au 4.958 2.862 1.130
```

Summary:
Energy relative to the elements = -0.67 eV per atom
Symmetry = R-3m (166)
Uncorrected energy = -3.87 eV per atom

Record 2
## Sr2Ag2Sb (PBE)

Data for Sr2Ag2Sb after structural relaxation.

Structure (extended XYZ):
```
10
Lattice="-7.808 1.161 -0.715 -0.928 -1.479 7.732 0.583 4.497 0.930" Properties=species:S:1:pos:R:3 pbc="T T T"
Sb 0.000 0.000 0.000
Sb -4.368 -0.159 3.508
Ag -3.770 -0.860 6.521
Ag -7.436 0.100 4.178
Ag -4.966 0.542 0.496
Ag -1.300 -0.418 2.839
Sr -1.777 1.451 5.620
Sr -5.804 1.835 6.288
Sr -6.376 2.728 2.327
Sr -2.349 2.344 1.659
```

Summary:
Polymorph energy (0 for the lowest one) = 0.0000 eV/atom
Symmetry = P4/mbm (127)
Uncorrected energy = -3.11 eV per atom

Record 3
## CrFeCoTe2 (PBE)

Data for CrFeCoTe2 after structural relaxation.

Structure (extended XYZ):
```
5
Lattice="4.985 0.000 0.000 0.000 4.985 0.000 0.000 0.000 4.422" Properties=species:S:1:pos:R:3 pbc="T T T"
Cr 0.000 0.000 2.211
Te 0.000 2.493 0.000
Te 2.493 0.000 0.000
Co 0.000 0.000 0.000
Fe 2.493 2.493 2.211
```

Summary:
Symmetry = P4/mmm (123)
Uncorrected energy = -5.37 eV per atom

Among the records above, which one has the lowest uncorrected energy? CrFeCoTe2

Repeat the second record exactly.
## Sr2Ag2Sb (PBE)

Data for Sr2Ag2Sb after structural relaxation.

Structure (extended XYZ):
```
10
Lattice="-7.808 1.161 -0.715 -0.928 -1.479 7.732 0.583 4.497 0.930" Properties=species:S:1:pos:R:3 pbc="T T T"
Sb 0.000 0.000 0.000
Sb -4.368 -0.159 3.508
Ag -3.770 -0.860 6.521
Ag -7.436 0.100 4.178
Ag -4.966 0.542 0.496
Ag -1.300 -0.418 2.839
Sr -1.777 1.451 5.620
Sr -5.804 1.835 6.288
Sr -6.376 2.728 2.327
Sr -2.349 2.344 1.659
```

Summary:
Polymorph energy (0 for the lowest one) = 0.0000 eV/atom
Symmetry = P4/mbm (127)
Uncorrected energy = -3.11 eV per atom